This record from Alexandria describes crystalline K2SrSe2 at its relaxed geometry. The functional is PBE.

Cell: 5.8707 5.8707 9.6331 Å, 90.00 90.00 90.00°
Last column: nearest neighbours and their distance in Å.
Space group I4/mmm (No. 139)
Symmetry-distinct sites (fractional):
1 K 0.0000 0.0000 0.1497 [4 per cell]  1 K 2.88, 4 Se 3.09
2 Sr 0.0000 0.0000 0.5000 [2 per cell]  2 K 3.37
3 Se 0.0000 0.5000 0.2500 [4 per cell]  4 K 3.09

## Properties
- Calculated volume: 33.20 Å³/atom
- N(E_F): 0.0 states/eV/f.u.
- E_form (uncorrected): -90.1 kJ per mole of atoms
- Offset from the most stable computed form: 1.41 eV/f.u.
- E: -3.103 eV per atom